An optimized crystal structure of SmPtCl. Source: Alexandria via LeMat-Bulk, functional GGA-PBE.

Cell and atoms, written as POSCAR:
```
SmPtCl
1.0
5.208 0.000 0.000
0.000 4.203 0.000
-0.546 0.000 7.251
Sm Pt Cl
2 2 2
Direct
0.042 0.250 0.283
0.958 0.750 0.717
0.344 0.750 0.467
0.656 0.250 0.533
0.238 0.250 0.922
0.762 0.750 0.078
```

Properties
Uncorrected formation energy in eV per atom: -1.416
Calculated total energy in eV/atom: -5.62